{"formula": "Ba2TlReO", "functional": "PBE", "state": "relaxed", "sg": "P4/mmm (123)", "n_ef_per_ev_cell": 4.70, "energy_ev_per_atom": -3.75, "formation_energy_uncorrected_kcal_per_mol_atoms": 22.42, "lattice": [[-5.442, -3.301, 1.257], [2.760, -4.215, 0.878], [0.469, 1.613, 6.267]], "species": ["Re", "Ba", "Ba", "O", "Tl"], "frac_coords": [[0.000, 0.500, 0.000], [0.000, 0.000, 0.500], [0.500, 0.000, 0.000], [0.500, 0.500, 0.500], [0.000, 0.000, 0.000]]}



{"formula": "Ba2Tl3ReO6", "functional": "PBE", "state": "relaxed", "sg": "C2/m (12)", "n_ef_per_ev_cell": 4.25, "energy_ev_per_atom": -5.98, "formation_energy_uncorrected_kcal_per_mol_atoms": -35.74, "lattice": [[6.376, 0.054, -0.239], [-3.140, 5.549, -0.239], [-1.324, -2.292, 7.210]], "species": ["Tl", "Tl", "Tl", "O", "O", "O", "O", "O", "O", "Ba", "Ba", "Re"], "frac_coords": [[0.146, 0.854, 0.500], [0.854, 0.146, 0.500], [0.500, 0.500, 0.500], [0.078, 0.327, 0.151], [0.673, 0.922, 0.849], [0.159, 0.159, 0.834], [0.841, 0.841, 0.166], [0.327, 0.078, 0.151], [0.922, 0.673, 0.849], [0.666, 0.334, 0.000], [0.334, 0.666, 0.000], [0.000, 0.000, 0.000]]}



{"formula": "Ba2TmReO6", "functional": "PBE", "state": "relaxed", "sg": "Fm-3m (225)", "n_ef_per_ev_cell": 4.42, "energy_ev_per_atom": -7.70, "formation_energy_uncorrected_kcal_per_mol_atoms": -61.18, "lattice": [[-3.815, 2.990, -3.446], [-1.517, -2.162, -5.328], [-5.484, -2.118, -0.898]], "species": ["Re", "O", "O", "O", "O", "O", "O", "Ba", "Ba", "Tm"], "frac_coords": [[0.000, 0.000, 0.000], [0.237, 0.763, 0.237], [0.237, 0.763, 0.763], [0.763, 0.237, 0.237], [0.237, 0.237, 0.763], [0.763, 0.237, 0.763], [0.763, 0.763, 0.237], [0.750, 0.750, 0.750], [0.250, 0.250, 0.250], [0.500, 0.500, 0.500]]}



{"formula": "Ba2TmRe3O12", "functional": "PBE", "state": "relaxed", "sg": "R-3m (166)", "n_ef_per_ev_cell": 8.75, "energy_ev_per_atom": -7.95, "formation_energy_uncorrected_kcal_per_mol_atoms": -48.71, "lattice": [[-3.016, -5.624, 3.427], [-1.295, -6.066, -3.742], [4.064, -5.846, 1.336]], "species": ["Re", "Re", "Re", "O", "O", "O", "O", "O", "O", "O", "O", "O", "O", "O", "O", "Tm", "Ba", "Ba"], "frac_coords": [[0.000, 0.500, 0.000], [0.000, 0.000, 0.500], [0.500, 0.000, 0.000], [0.296, 0.296, 0.920], [0.103, 0.624, 0.103], [0.080, 0.704, 0.704], [0.103, 0.103, 0.624], [0.897, 0.897, 0.376], [0.897, 0.376, 0.897], [0.376, 0.897, 0.897], [0.920, 0.296, 0.296], [0.296, 0.920, 0.296], [0.704, 0.080, 0.704], [0.704, 0.704, 0.080], [0.624, 0.103, 0.103], [0.000, 0.000, 0.000], [0.636, 0.636, 0.636], [0.364, 0.364, 0.364]]}



{"formula": "BaTmRe2O8", "functional": "PBE", "state": "relaxed", "sg": "P-3m1 (164)", "n_ef_per_ev_cell": 7.75, "energy_ev_per_atom": -8.02, "formation_energy_uncorrected_kcal_per_mol_atoms": -48.58, "lattice": [[5.934, 0.000, 0.000], [-2.967, 5.139, 0.000], [0.000, 0.000, 7.520]], "species": ["O", "O", "O", "O", "O", "O", "O", "O", "Ba", "Re", "Re", "Tm"], "frac_coords": [[0.667, 0.333, 0.994], [0.163, 0.837, 0.691], [0.837, 0.673, 0.309], [0.327, 0.163, 0.309], [0.333, 0.667, 0.006], [0.163, 0.327, 0.691], [0.673, 0.837, 0.691], [0.837, 0.163, 0.309], [0.000, 0.000, 0.000], [0.333, 0.667, 0.767], [0.667, 0.333, 0.233], [0.000, 0.000, 0.500]]}